First-principles (PBE-GGA) data for crystalline La3BiH2 at its relaxed geometry, as listed in Alexandria.

Raw total energy = -4.778 eV per atom
DOS(E_F) = 20.8 states/eV/cell
Magnetic moment = 0.0 μB per cell

Cell lengths 23.5907, 4.2171, 6.6021 Å; angles 90.00, 103.87, 90.00 degrees
Space group C2/m (No. 12)
Asymmetric unit:
La (0.0382, 0.0000, 0.2824) (multiplicity 4)
La (0.1029, 0.5000, 0.8546) (multiplicity 4)
La (0.2298, 0.0000, 0.2171) (multiplicity 4)
Bi (0.1487, 0.5000, 0.4066) (multiplicity 4)
H (0.0600, 0.0000, 0.9378) (multiplicity 4)
H (0.2099, 0.5000, 0.0240) (multiplicity 4)



First-principles (PBE-GGA) data for crystalline La12Bi3H5 at its relaxed geometry, as listed in Alexandria.

Raw total energy = -4.763 eV per atom
DOS(E_F) = 169.7 states/eV/cell
Magnetic moment = 0.0 μB per cell

Cell lengths 16.6583, 16.6583, 16.6583 Å; angles 90.00, 90.00, 90.00 degrees
Space group Ia-3d (No. 230)
Asymmetric unit:
La (0.0417, 0.0561, 0.6510) (multiplicity 96)
Bi (0.0000, 0.2500, 0.1250) (multiplicity 24)
H (0.0000, 0.0000, 0.0000) (multiplicity 16)
H (0.0000, 0.2500, 0.3750) (multiplicity 24)



First-principles (PBE-GGA) data for crystalline La3Bi3H at its relaxed geometry, as listed in Alexandria.

Raw total energy = -5.044 eV per atom
DOS(E_F) = 5.0 states/eV/cell
Magnetic moment = 0.0 μB per cell

Cell lengths 9.4503, 14.1604, 6.6446 Å; angles 90.00, 92.55, 90.00 degrees
Space group C2/m (No. 12)
Asymmetric unit:
La (0.0892, 0.0000, 0.2757) (multiplicity 4)
La (0.1921, 0.3602, 0.2443) (multiplicity 8)
Bi (0.0000, 0.1904, 0.0000) (multiplicity 4)
Bi (0.0000, 0.2035, 0.5000) (multiplicity 4)
Bi (0.0862, 0.5000, 0.7667) (multiplicity 4)
H (0.1694, 0.0000, 0.6483) (multiplicity 4)



First-principles (PBE-GGA) data for crystalline LaBiH at its relaxed geometry, as listed in Alexandria.

Energy above the lowest structure with this stoichiometry = 199 meV per atom
DOS(E_F) = 21.9 states/eV/cell
Magnetic moment = 0.0 μB per cell

Cell lengths 8.2438, 10.7106, 12.9694 Å; angles 90.00, 90.00, 90.00 degrees
Space group Fddd (No. 70, origin choice 2)
Asymmetric unit:
La (0.1250, 0.1250, 0.2898) (multiplicity 16)
Bi (0.0000, 0.0000, 0.5000) (multiplicity 16)
H (0.1250, 0.2547, 0.1250) (multiplicity 16)



First-principles (PBE-GGA) data for crystalline La7Bi4H4 at its relaxed geometry, as listed in Alexandria.

Raw total energy = -4.833 eV per atom
DOS(E_F) = 17.9 states/eV/cell
Magnetic moment = 0.0 μB per cell

Cell lengths 15.7530, 15.7530, 6.5165 Å; angles 90.00, 90.00, 90.00 degrees
Space group I4/mmm (No. 139)
Asymmetric unit:
La (0.0000, 0.0000, 0.2497) (multiplicity 4)
La (0.0000, 0.2872, 0.0000) (multiplicity 8)
La (0.0000, 0.3968, 0.5000) (multiplicity 8)
La (0.2014, 0.2014, 0.5000) (multiplicity 8)
Bi (0.0000, 0.1927, 0.5000) (multiplicity 8)
Bi (0.1483, 0.1483, 0.0000) (multiplicity 8)
H (0.1177, 0.3823, 0.2500) (multiplicity 16)



First-principles (PBE-GGA) data for crystalline LaBiH2 at its relaxed geometry, as listed in Alexandria.

Energy above the lowest structure with this stoichiometry = 88 meV per atom
DOS(E_F) = 2.9 states/eV/cell
Magnetic moment = 0.0 μB per cell

Cell lengths 6.5466, 6.5466, 6.5466 Å; angles 90.00, 90.00, 90.00 degrees
Space group Fm-3m (No. 225)
Asymmetric unit:
La (0.0000, 0.0000, 0.0000) (multiplicity 4)
Bi (0.0000, 0.0000, 0.5000) (multiplicity 4)
H (0.2500, 0.2500, 0.2500) (multiplicity 8)